No. 1
A plane-wave DFT calculation with PBE-GGA was carried out for Zn2BiW2 after structural relaxation.

Summary:
**ΔE to the lowest computed polymorph**: 26.5 meV/atom
**Symmetry**: P4/mbm

Cell: 8.155 8.155 2.839 Å, 90.00 90.00 90.00°
Sites, in units of the cell vectors:
Zn: 0.322 0.822 0.000
Zn: 0.822 0.678 0.000
Zn: 0.678 0.178 0.000
Zn: 0.178 0.322 0.000
Bi: 0.000 0.000 0.000
Bi: 0.500 0.500 0.000
W: 0.110 0.610 0.500
W: 0.610 0.890 0.500
W: 0.890 0.390 0.500
W: 0.390 0.110 0.500

No. 2
A plane-wave DFT calculation with PBE-GGA was carried out for ZnBiW2 after structural relaxation.

Summary:
**ΔE to the lowest computed polymorph**: 0.0 meV/atom
**Symmetry**: I-42d

Cell: 3.981 3.981 10.340 Å, 78.90 78.90 90.00°
Sites, in units of the cell vectors:
Zn: 0.500 0.500 0.000
Zn: 0.250 0.750 0.500
Bi: 0.000 0.000 0.000
Bi: 0.750 0.250 0.500
W: 0.579 0.125 0.250
W: 0.171 0.625 0.250
W: 0.375 0.421 0.750
W: 0.875 0.829 0.750

No. 3
A plane-wave DFT calculation with PBE-GGA was carried out for ZnBi3W after structural relaxation.

Summary:
**ΔE to the lowest computed polymorph**: 0.0 meV/atom
**Symmetry**: Pm-3m

Cell: 5.432 5.432 5.432 Å, 90.00 90.00 90.00°
Sites, in units of the cell vectors:
Zn: 0.500 0.500 0.500
Bi: 0.000 0.500 0.000
Bi: 0.000 0.000 0.500
Bi: 0.500 0.000 0.000
W: 0.000 0.000 0.000

No. 4
A plane-wave DFT calculation with PBE-GGA was carried out for ZnBi3W after structural relaxation.

Summary:
**ΔE to the lowest computed polymorph**: 633.5 meV/atom
**Symmetry**: Pm-3m

Cell: 5.290 5.290 5.290 Å, 90.00 90.00 90.00°
Each line ends with the local moment (μB).
Sites, in units of the cell vectors:
Zn: 0.000 0.000 0.000  0.01
Bi: 0.000 0.500 0.000  -0.13
Bi: 0.000 0.000 0.500  -0.10
Bi: 0.500 0.000 0.000  -0.12
W: 0.500 0.500 0.500  2.87

No. 5
A plane-wave DFT calculation with PBE-GGA was carried out for Zn2BiW2 after structural relaxation.

Summary:
**ΔE to the lowest computed polymorph**: 0.0 meV/atom
**Symmetry**: I4/mmm

Cell: 3.804 3.804 7.054 Å, 74.36 74.36 90.00°
Sites, in units of the cell vectors:
Zn: 0.400 0.400 0.200
Zn: 0.600 0.600 0.800
Bi: 0.000 0.000 0.000
W: 0.750 0.250 0.500
W: 0.250 0.750 0.500

No. 6
A plane-wave DFT calculation with PBE-GGA was carried out for Zn3BiW after structural relaxation.

Summary:
**ΔE to the lowest computed polymorph**: 0.0 meV/atom
**Symmetry**: Pm-3m

Cell: 4.919 4.919 4.919 Å, 90.00 90.00 90.00°
Sites, in units of the cell vectors:
Zn: 0.000 0.500 0.000
Zn: 0.000 0.000 0.500
Zn: 0.500 0.000 0.000
Bi: 0.500 0.500 0.500
W: 0.000 0.000 0.000

No. 7
A plane-wave DFT calculation with PBE-GGA was carried out for ZnBiW2 after structural relaxation.

Summary:
**ΔE to the lowest computed polymorph**: 170.4 meV/atom
**Symmetry**: Fm-3m

Cell: 4.644 4.644 4.644 Å, 60.00 60.00 60.00°
Sites, in units of the cell vectors:
Zn: 0.000 0.000 0.000
Bi: 0.500 0.500 0.500
W: 0.250 0.250 0.250
W: 0.750 0.750 0.750

No. 8
A plane-wave DFT calculation with PBE-GGA was carried out for ZnBiW3 after structural relaxation.

Summary:
**ΔE to the lowest computed polymorph**: 1191.9 meV/atom
**Symmetry**: Pm-3m

Cell: 5.016 5.016 5.016 Å, 90.00 90.00 90.00°
Sites, in units of the cell vectors:
Zn: 0.500 0.500 0.500
Bi: 0.000 0.000 0.000
W: 0.000 0.500 0.000
W: 0.000 0.000 0.500
W: 0.500 0.000 0.000

No. 9
A plane-wave DFT calculation with PBE-GGA was carried out for ZnBiW3 after structural relaxation.

Summary:
**ΔE to the lowest computed polymorph**: 0.0 meV/atom
**Symmetry**: Pm-3m

Cell: 4.660 4.660 4.660 Å, 90.00 90.00 90.00°
Sites, in units of the cell vectors:
Zn: 0.000 0.000 0.000
Bi: 0.500 0.500 0.500
W: 0.000 0.500 0.000
W: 0.000 0.000 0.500
W: 0.500 0.000 0.000

No. 10
A plane-wave DFT calculation with PBE-GGA was carried out for ZrBi2W after structural relaxation.

Summary:
**ΔE to the lowest computed polymorph**: 0.0 meV/atom
**Symmetry**: Fm-3m

Cell: 5.004 5.004 5.004 Å, 60.00 60.00 60.00°
Sites, in units of the cell vectors:
Zr: 0.000 0.000 0.000
Bi: 0.250 0.250 0.250
Bi: 0.750 0.750 0.750
W: 0.500 0.500 0.500

No. 11
A plane-wave DFT calculation with PBE-GGA was carried out for Zr3BiW after structural relaxation.

Summary:
**ΔE to the lowest computed polymorph**: 1158.0 meV/atom
**Symmetry**: Pm-3m

Cell: 5.258 5.258 5.258 Å, 90.00 90.00 90.00°
Sites, in units of the cell vectors:
Zr: 0.000 0.500 0.000
Zr: 0.000 0.000 0.500
Zr: 0.500 0.000 0.000
Bi: 0.000 0.000 0.000
W: 0.500 0.500 0.500

No. 12
A plane-wave DFT calculation with PBE-GGA was carried out for Zr3BiW after structural relaxation.

Summary:
**ΔE to the lowest computed polymorph**: 0.0 meV/atom
**Symmetry**: Pm-3m

Cell: 5.127 5.127 5.127 Å, 90.00 90.00 90.00°
Each line ends with the local moment (μB).
Sites, in units of the cell vectors:
Zr: 0.000 0.500 0.000  0.24
Zr: 0.000 0.000 0.500  0.18
Zr: 0.500 0.000 0.000  0.41
Bi: 0.500 0.500 0.500  -0.03
W: 0.000 0.000 0.000  0.05

No. 13
A plane-wave DFT calculation with PBE-GGA was carried out for ZrBiW3 after structural relaxation.

Summary:
**ΔE to the lowest computed polymorph**: 266.1 meV/atom
**Symmetry**: Pm-3m

Cell: 4.973 4.973 4.973 Å, 90.00 90.00 90.00°
Sites, in units of the cell vectors:
Zr: 0.500 0.500 0.500
Bi: 0.000 0.000 0.000
W: 0.000 0.500 0.000
W: 0.000 0.000 0.500
W: 0.500 0.000 0.000

No. 14
A plane-wave DFT calculation with PBE-GGA was carried out for ZrBiW2 after structural relaxation.

Summary:
**Symmetry**: I-42d

Cell: 4.079 4.079 10.852 Å, 79.17 79.17 90.00°
Sites, in units of the cell vectors:
Zr: 0.500 0.500 0.000
Zr: 0.250 0.750 0.500
Bi: 0.000 0.000 0.000
Bi: 0.750 0.250 0.500
W: 0.578 0.125 0.250
W: 0.172 0.625 0.250
W: 0.375 0.422 0.750
W: 0.875 0.828 0.750

Let's list N(E_F) in order: 3.33 1.80 5.02 3.91 3.34 2.61 2.60 5.63 6.74 1.70 5.60 7.52 7.12 3.45 states/eV/f.u..
Let's list calculated formation energy in order: 678 895 809 1443 652 982 1066 3144 1952 444 1779 621 2645 931 meV/atom.